VASP calculation (PBE) on an optimized crystal structure of CdAg2Pb.

Cell: 5.0314 5.0314 6.1513 Å, 100.19 100.19 36.27°
With the nearest neighbours (Å) after each atom.
Atoms (fractional coordinates):
Cd: 0.0000 0.0000 0.0000  6 Ag 2.90-2.98, 2 Cd 3.13
Ag: 0.2563 0.2563 0.7898  3 Cd 2.90-2.98, 4 Ag 3.05-3.13, 3 Pb 3.16-3.19
Ag: 0.7437 0.7437 0.2102  3 Cd 2.90-2.98, 4 Ag 3.05-3.13, 3 Pb 3.16-3.19
Pb: 0.5000 0.5000 0.5000  2 Pb 3.13, 6 Ag 3.16-3.19, 4 Cd 3.45

Values from the calculation:
total moment = 0.00 μB/cell
symmetry = C2/m (12)
V = 90.5 Å³/cell
E = -9.995 eV/cell

***

VASP calculation (PBE) on an optimized crystal structure of CdAgPb2.

Cell: 3.3928 4.5622 6.6939 Å, 90.00 91.52 90.00°
With the nearest neighbours (Å) after each atom.
Atoms (fractional coordinates):
Cd: 0.0000 0.0000 0.0000  8 Pb 3.30-3.34, 2 Ag 3.35, 2 Cd 3.39
Ag: 0.0000 0.0000 0.5000  8 Pb 3.21-3.34, 2 Cd 3.35, 2 Ag 3.39
Pb: 0.4762 0.5000 0.7431  4 Ag 3.21-3.34, 4 Pb 3.26-3.44, 4 Cd 3.30-3.34
Pb: 0.5238 0.5000 0.2569  4 Ag 3.21-3.34, 4 Pb 3.26-3.44, 4 Cd 3.30-3.34

Values from the calculation:
total moment = 0.00 μB/cell
symmetry = P2/m (10)
V = 103.6 Å³/cell
E = -10.838 eV/cell

***

VASP calculation (PBE) on an optimized crystal structure of Cd6AgPb.

Cell: 4.5436 4.5436 8.9762 Å, 90.00 90.00 90.00°
With the nearest neighbours (Å) after each atom.
Atoms (fractional coordinates):
Cd: 0.0000 0.0000 0.0000  8 Cd 3.05, 4 Ag 3.21
Cd: 0.0000 0.0000 0.5000  4 Pb 3.21, 8 Cd 3.34
Cd: 0.0000 0.5000 0.2268  8 Cd 3.05-3.34, 2 Ag 3.05, 2 Pb 3.34
Cd: 0.0000 0.5000 0.7732  8 Cd 3.05-3.34, 2 Ag 3.05, 2 Pb 3.34
Cd: 0.5000 0.0000 0.2268  8 Cd 3.05-3.34, 2 Ag 3.05, 2 Pb 3.34
Cd: 0.5000 0.0000 0.7732  8 Cd 3.05-3.34, 2 Ag 3.05, 2 Pb 3.34
Ag: 0.5000 0.5000 0.0000  12 Cd 3.05-3.21
Pb: 0.5000 0.5000 0.5000  12 Cd 3.21-3.34

Values from the calculation:
total moment = 0.00 μB/cell
symmetry = P4/mmm (123)
V = 185.3 Å³/cell
E = -11.805 eV/cell